Record 1
Crystalline HoTm4AgS8 at its relaxed geometry. Source: Alexandria via LeMat-Bulk, functional GGA-PBE.

## Properties
SG	No. 160
formation energy from raw total energies	-1833	meV per atom
magnetic moment	0.00	μB/f.u.

a = 7.949 Å, b = 7.949 Å, c = 7.949 Å
α = 59.83°, β = 59.83°, γ = 59.83°
Positions (direct):
Ho (0.000, 0.000, 0.000)
Tm (0.000, 0.000, 0.518)
Tm (0.000, 0.518, 0.000)
Tm (0.379, 0.379, 0.379)
Tm (0.518, 0.000, 0.000)
Ag (0.630, 0.630, 0.630)
S (0.230, 0.761, 0.761)
S (0.246, 0.246, 0.246)
S (0.247, 0.247, 0.779)
S (0.247, 0.779, 0.247)
S (0.761, 0.230, 0.761)
S (0.761, 0.761, 0.230)
S (0.763, 0.763, 0.763)
S (0.779, 0.247, 0.247)

Record 2
Crystalline Th3CuNi5 at its relaxed geometry. Source: Alexandria via LeMat-Bulk, functional GGA-PBE.

## Properties
energy of formation	-6.60	kcal/mol of atoms
SG	No. 193
magnetic moment	0.00	μB/f.u.

a = 8.341 Å, b = 8.341 Å, c = 5.450 Å
α = 90.00°, β = 90.00°, γ = 120.00°
Positions (direct):
Th (0.000, 0.348, 0.250)
Th (0.000, 0.652, 0.750)
Th (0.348, 0.000, 0.250)
Th (0.348, 0.348, 0.750)
Th (0.652, 0.000, 0.750)
Th (0.652, 0.652, 0.250)
Cu (0.000, 0.000, 0.000)
Cu (0.000, 0.000, 0.500)
Ni (0.000, 0.314, 0.750)
Ni (0.000, 0.686, 0.250)
Ni (0.314, 0.000, 0.750)
Ni (0.314, 0.314, 0.250)
Ni (0.333, 0.667, 0.000)
Ni (0.333, 0.667, 0.500)
Ni (0.667, 0.333, 0.000)
Ni (0.667, 0.333, 0.500)
Ni (0.686, 0.000, 0.250)
Ni (0.686, 0.686, 0.750)